## SrTeAu4 (PBE)

Data for SrTeAu4 after structural relaxation.

Lattice parameters (Å, degrees): 8.146 8.146 8.146 90.00 90.00 90.00
Space group F-43m (No. 216)
Symmetry-distinct sites (fractional):
Sr  0.000  0.000  0.000
Te  0.250  0.250  0.750
Au  0.125  0.125  0.375

- Energy relative to the elements, uncorrected: -0.48 eV/atom